The following is a PBE calculation of an optimized crystal structure of BaZn2BiO, from Alexandria via LeMat-Bulk.

```
data_BaZn2BiO
_cell_length_a 4.851
_cell_length_b 5.111
_cell_length_c 4.851
_cell_angle_alpha 90.00
_cell_angle_beta 90.00
_cell_angle_gamma 90.00
_symmetry_space_group_name_H-M 'P 1'
_symmetry_Int_Tables_number 1
loop_
_symmetry_equiv_pos_as_xyz
'x,y,z'
loop_
_atom_site_label
_atom_site_fract_x
_atom_site_fract_y
_atom_site_fract_z
Zn1 0.000 0.000 0.500
Zn2 0.500 0.000 0.000
Bi1 0.500 0.500 0.500
O1 0.000 0.000 0.000
Ba1 0.000 0.500 0.000
```

Properties
Formation energy (no corrections) = -50.6 kJ per mole of atoms
Space group = P4/mmm (123)
Energy = -3.186 eV per atom
Magnetic moment = 0.0 μB per cell

The following is a PBE calculation of an optimized crystal structure of ZrTa2Ni, from Alexandria via LeMat-Bulk.

```
data_ZrTa2Ni
_cell_length_a 3.032
_cell_length_b 3.468
_cell_length_c 6.644
_cell_angle_alpha 90.00
_cell_angle_beta 90.00
_cell_angle_gamma 90.00
_symmetry_space_group_name_H-M 'P 1'
_symmetry_Int_Tables_number 1
loop_
_symmetry_equiv_pos_as_xyz
'x,y,z'
loop_
_atom_site_label
_atom_site_fract_x
_atom_site_fract_y
_atom_site_fract_z
Ni1 0.500 0.500 0.750
Ta1 0.000 0.000 0.967
Ta2 0.000 0.000 0.533
Zr1 0.500 0.500 0.250
```

Properties
Relative energy among the computed polymorphs = 131 meV per atom
Space group = Pmmm (47)
Energy = -9.446 eV per atom
Magnetic moment = 0.0 μB per cell
E_form = 0.2 eV per formula unit

The following is a PBE calculation of an optimized crystal structure of Tb12Dy2Tm5, from Alexandria via LeMat-Bulk.

```
data_Tb12Dy2Tm5
_cell_length_a 9.135
_cell_length_b 9.066
_cell_length_c 8.488
_cell_angle_alpha 90.86
_cell_angle_beta 90.00
_cell_angle_gamma 120.25
_symmetry_space_group_name_H-M 'P 1'
_symmetry_Int_Tables_number 1
loop_
_symmetry_equiv_pos_as_xyz
'x,y,z'
loop_
_atom_site_label
_atom_site_fract_x
_atom_site_fract_y
_atom_site_fract_z
Tb1 0.908 0.817 0.115
Tb2 0.027 0.690 0.759
Tb3 0.663 0.690 0.759
Tb4 0.180 0.747 0.337
Tb5 0.567 0.747 0.337
Tb6 0.441 0.881 0.664
Tb7 0.559 0.119 0.336
Tb8 0.820 0.253 0.663
Tb9 0.433 0.253 0.663
Tb10 0.973 0.310 0.241
Tb11 0.337 0.310 0.241
Tb12 0.092 0.183 0.885
Dy1 0.677 0.000 0.000
Dy2 0.323 0.000 0.000
Tm1 0.232 0.464 0.573
Tm2 0.302 0.604 0.987
Tm3 0.000 0.000 0.500
Tm4 0.698 0.396 0.013
Tm5 0.768 0.536 0.427
```

Properties
Relative energy among the computed polymorphs = 111 meV per atom
Space group = C2/m (12)
Energy = -4.457 eV per atom
Magnetic moment = 0.0 μB per cell
E_form = 2.4 eV per formula unit

The following is a PBE calculation of an optimized crystal structure of Ba2NiSnPb, from Alexandria via LeMat-Bulk.

```
data_Ba2NiSnPb
_cell_length_a 5.980
_cell_length_b 5.980
_cell_length_c 4.909
_cell_angle_alpha 90.00
_cell_angle_beta 90.00
_cell_angle_gamma 90.00
_symmetry_space_group_name_H-M 'P 1'
_symmetry_Int_Tables_number 1
loop_
_symmetry_equiv_pos_as_xyz
'x,y,z'
loop_
_atom_site_label
_atom_site_fract_x
_atom_site_fract_y
_atom_site_fract_z
Pb1 0.500 0.500 0.500
Ni1 0.000 0.000 0.000
Ba1 0.000 0.500 0.000
Ba2 0.500 0.000 0.000
Sn1 0.000 0.000 0.500
```

Properties
Space group = P4/mmm (123)
Energy = -3.792 eV per atom
Magnetic moment = 0.0 μB per cell
E_form = -1.6 eV per formula unit

The following is a PBE calculation of an optimized crystal structure of CeGeF, from Alexandria via LeMat-Bulk.

```
data_CeGeF
_cell_length_a 4.237
_cell_length_b 4.245
_cell_length_c 8.101
_cell_angle_alpha 105.18
_cell_angle_beta 90.00
_cell_angle_gamma 119.94
_symmetry_space_group_name_H-M 'P 1'
_symmetry_Int_Tables_number 1
loop_
_symmetry_equiv_pos_as_xyz
'x,y,z'
loop_
_atom_site_label
_atom_site_fract_x
_atom_site_fract_y
_atom_site_fract_z
Ce1 0.590 0.181 0.270
Ce2 0.410 0.819 0.730
Ge1 0.842 0.685 0.027
Ge2 0.158 0.315 0.973
F1 0.305 0.610 0.413
F2 0.695 0.390 0.587
```

Properties
Relative energy among the computed polymorphs = 0 meV per atom
Formation energy (no corrections) = -188.2 kJ per mole of atoms
Space group = C2/m (12)
Energy = -6.091 eV per atom
Magnetic moment = 2.2 μB per cell

The following is a PBE calculation of an optimized crystal structure of TbNdZr, from Alexandria via LeMat-Bulk.

```
data_TbNdZr
_cell_length_a 3.418
_cell_length_b 3.418
_cell_length_c 7.936
_cell_angle_alpha 102.44
_cell_angle_beta 102.44
_cell_angle_gamma 90.00
_symmetry_space_group_name_H-M 'P 1'
_symmetry_Int_Tables_number 1
loop_
_symmetry_equiv_pos_as_xyz
'x,y,z'
loop_
_atom_site_label
_atom_site_fract_x
_atom_site_fract_y
_atom_site_fract_z
Nd1 0.990 0.990 0.981
Tb1 0.679 0.679 0.359
Zr1 0.330 0.330 0.660
```

Properties
Relative energy among the computed polymorphs = 0 meV per atom
Space group = I4mm (107)
Energy = -5.877 eV per atom
Magnetic moment = 0.0 μB per cell
E_form = 0.3 eV per formula unit

The following is a PBE calculation of an optimized crystal structure of Zr2PaMo, from Alexandria via LeMat-Bulk.

```
data_Zr2PaMo
_cell_length_a 3.174
_cell_length_b 3.174
_cell_length_c 10.373
_cell_angle_alpha 81.20
_cell_angle_beta 81.20
_cell_angle_gamma 60.00
_symmetry_space_group_name_H-M 'P 1'
_symmetry_Int_Tables_number 1
loop_
_symmetry_equiv_pos_as_xyz
'x,y,z'
loop_
_atom_site_label
_atom_site_fract_x
_atom_site_fract_y
_atom_site_fract_z
Mo1 0.500 0.500 0.500
Pa1 0.000 0.000 0.000
Zr1 0.099 0.099 0.704
Zr2 0.901 0.901 0.296
```

Properties
Relative energy among the computed polymorphs = 214 meV per atom
Space group = R-3m (166)
Energy = -9.045 eV per atom
Magnetic moment = 0.0 μB per cell
E_form = 1.2 eV per formula unit

The following is a PBE calculation of an optimized crystal structure of Pr2NdTh, from Alexandria via LeMat-Bulk.

```
data_Pr2NdTh
_cell_length_a 5.823
_cell_length_b 5.823
_cell_length_c 5.823
_cell_angle_alpha 60.00
_cell_angle_beta 60.00
_cell_angle_gamma 60.00
_symmetry_space_group_name_H-M 'P 1'
_symmetry_Int_Tables_number 1
loop_
_symmetry_equiv_pos_as_xyz
'x,y,z'
loop_
_atom_site_label
_atom_site_fract_x
_atom_site_fract_y
_atom_site_fract_z
Pr1 0.250 0.250 0.250
Pr2 0.750 0.750 0.750
Nd1 0.000 0.000 0.000
Th1 0.500 0.500 0.500
```

Properties
Relative energy among the computed polymorphs = 170 meV per atom
Space group = Fm-3m (225)
Energy = -5.238 eV per atom
Magnetic moment = 0.0 μB per cell
E_form = 0.8 eV per formula unit

The following is a PBE calculation of an optimized crystal structure of La2CoAsN, from Alexandria via LeMat-Bulk.

```
data_La2CoAsN
_cell_length_a 5.264
_cell_length_b 5.264
_cell_length_c 3.638
_cell_angle_alpha 90.00
_cell_angle_beta 90.00
_cell_angle_gamma 90.00
_symmetry_space_group_name_H-M 'P 1'
_symmetry_Int_Tables_number 1
loop_
_symmetry_equiv_pos_as_xyz
'x,y,z'
loop_
_atom_site_label
_atom_site_fract_x
_atom_site_fract_y
_atom_site_fract_z
As1 0.500 0.500 0.500
N1 0.000 0.000 0.000
Co1 0.000 0.000 0.500
La1 0.000 0.500 0.000
La2 0.500 0.000 0.000
```

Properties
Formation energy (no corrections) = -97.1 kJ per mole of atoms
Space group = P4/mmm (123)
Energy = -6.993 eV per atom
Magnetic moment = 0.0 μB per cell

The following is a PBE calculation of an optimized crystal structure of MgTi, from Alexandria via LeMat-Bulk.

```
data_MgTi
_cell_length_a 4.785
_cell_length_b 6.298
_cell_length_c 15.662
_cell_angle_alpha 90.00
_cell_angle_beta 90.00
_cell_angle_gamma 90.00
_symmetry_space_group_name_H-M 'P 1'
_symmetry_Int_Tables_number 1
loop_
_symmetry_equiv_pos_as_xyz
'x,y,z'
loop_
_atom_site_label
_atom_site_fract_x
_atom_site_fract_y
_atom_site_fract_z
Mg1 0.750 0.872 0.976
Mg2 0.750 0.383 0.971
Mg3 0.750 0.116 0.809
Mg4 0.250 0.116 0.691
Mg5 0.250 0.872 0.524
Mg6 0.250 0.383 0.529
Mg7 0.750 0.617 0.471
Mg8 0.750 0.128 0.476
Mg9 0.750 0.884 0.309
Mg10 0.250 0.884 0.191
Mg11 0.250 0.617 0.029
Mg12 0.250 0.128 0.024
Ti1 0.250 0.837 0.850
Ti2 0.250 0.400 0.845
Ti3 0.750 0.622 0.801
Ti4 0.250 0.622 0.699
Ti5 0.750 0.837 0.650
Ti6 0.750 0.400 0.655
Ti7 0.250 0.600 0.345
Ti8 0.250 0.163 0.350
Ti9 0.750 0.378 0.301
Ti10 0.250 0.378 0.199
Ti11 0.750 0.600 0.155
Ti12 0.750 0.163 0.150
```

Properties
Space group = Pbcm (57)
Energy = -4.602 eV per atom
Magnetic moment = 0.0 μB per cell
E_form = 0.3 eV per formula unit

The following is a PBE calculation of an optimized crystal structure of Sr2Tl2In3, from Alexandria via LeMat-Bulk.

```
data_Sr2Tl2In3
_cell_length_a 4.933
_cell_length_b 6.657
_cell_length_c 7.665
_cell_angle_alpha 108.66
_cell_angle_beta 90.00
_cell_angle_gamma 111.75
_symmetry_space_group_name_H-M 'P 1'
_symmetry_Int_Tables_number 1
loop_
_symmetry_equiv_pos_as_xyz
'x,y,z'
loop_
_atom_site_label
_atom_site_fract_x
_atom_site_fract_y
_atom_site_fract_z
Sr1 0.861 0.722 0.232
Sr2 0.139 0.278 0.768
Tl1 0.834 0.667 0.755
Tl2 0.166 0.333 0.245
In1 0.500 0.000 0.000
In2 0.592 0.184 0.417
In3 0.408 0.816 0.583
```

Properties
Space group = C2/m (12)
Energy = -2.653 eV per atom
Magnetic moment = 0.0 μB per cell
E_form = -2.3 eV per formula unit

The following is a PBE calculation of an optimized crystal structure of Nd4BiSe2, from Alexandria via LeMat-Bulk.

```
data_Nd4BiSe2
_cell_length_a 4.314
_cell_length_b 7.256
_cell_length_c 14.302
_cell_angle_alpha 90.00
_cell_angle_beta 90.00
_cell_angle_gamma 107.29
_symmetry_space_group_name_H-M 'P 1'
_symmetry_Int_Tables_number 1
loop_
_symmetry_equiv_pos_as_xyz
'x,y,z'
loop_
_atom_site_label
_atom_site_fract_x
_atom_site_fract_y
_atom_site_fract_z
Nd1 0.769 0.537 0.119
Nd2 0.769 0.537 0.381
Nd3 0.231 0.463 0.881
Nd4 0.231 0.463 0.619
Nd5 0.936 0.872 0.750
Nd6 0.064 0.128 0.250
Nd7 0.500 0.000 0.000
Nd8 0.500 0.000 0.500
Bi1 0.607 0.214 0.750
Bi2 0.393 0.786 0.250
Se1 0.135 0.270 0.440
Se2 0.865 0.730 0.940
Se3 0.135 0.270 0.060
Se4 0.865 0.730 0.560
```

Properties
Formation energy (no corrections) = -126.6 kJ per mole of atoms
Space group = Cmcm (63)
Energy = -5.587 eV per atom
Magnetic moment = 0.0 μB per cell